# 1
An optimized crystal structure of SrVB2. Source: the Alexandria database, functional PBE-GGA.

Cell and atoms, written as POSCAR:
```
SrVB2
1.0
0.0000 3.1081 3.1081
3.1081 0.0000 3.1081
3.1081 3.1081 0.0000
Sr V B
1 1 2
Direct
0.0000 0.0000 0.0000
0.5000 0.5000 0.5000
0.2500 0.2500 0.2500
0.7500 0.7500 0.7500
```

Summary:
N(E_F) = 0.838 states/eV per atom
space group = Fm-3m, No. 225
calculated formation energy = 1.158 eV/atom
crystal system = cubic
total energy = -4.881 eV/atom

=====

# 2
An optimized crystal structure of Ag2GePd. Source: the Alexandria database, functional PBE-GGA.

Cell and atoms, written as POSCAR:
```
Ag2GePd
1.0
-3.7179 3.7179 2.6473
3.7179 -3.7179 2.6473
3.7179 3.7179 -2.6473
Ag Ge Pd
4 2 2
Direct
0.1075 0.6250 0.9825
0.3750 0.3575 0.4825
0.6425 0.1250 0.0175
0.8750 0.8925 0.5175
0.0000 0.0000 0.0000
0.7500 0.2500 0.5000
0.2500 0.7500 0.5000
0.5000 0.5000 0.0000
```

Summary:
N(E_F) = 0.284 states/eV per atom
space group = I-42d, No. 122
calculated formation energy = 0.162 eV/atom
crystal system = tetragonal
total energy = -3.716 eV/atom

=====

# 3
An optimized crystal structure of TlS2Br2. Source: the Alexandria database, functional PBE-GGA.

Cell and atoms, written as POSCAR:
```
TlS2Br2
1.0
3.4723 -2.1903 0.0000
3.4723 2.1903 0.0000
-3.0246 0.0000 9.8125
Tl S Br
1 2 2
Direct
0.0000 0.0000 0.0000
0.0923 0.0923 0.4480
0.9077 0.9077 0.5520
0.4426 0.4426 0.2044
0.5574 0.5574 0.7956
```

Summary:
N(E_F) = 0.450 states/eV per atom
space group = C2/m, No. 12
formation energy from raw total energies = -0.1739 eV per atom
crystal system = monoclinic
total energy = -2.967 eV/atom

=====

| no. | total moment (μB/cell) |
| --- | --- |
| 1 | 2.2 |
| 2 | 0.0 |
| 3 | 0.0 |